Record 1
Below is a relaxed structure of Cs2Ga3Bi5, with properties calculated at the GGA-PBE level. Values from VASP.

The structure in Quantum ESPRESSO input format:
```
&SYSTEM
  ibrav = 0, nat = 20, ntyp = 3
/
ATOMIC_SPECIES
Cs 132.91 Cs.upf
Ga 69.72 Ga.upf
Bi 208.98 Bi.upf
CELL_PARAMETERS angstrom
-3.2888 -5.8734 -3.0473
4.4656 -8.9713 3.5132
-6.4636 -4.6679 7.0143
ATOMIC_POSITIONS crystal
Cs 0.1285 0.6361 0.1068
Cs 0.6285 0.1068 0.6361
Cs 0.8715 0.3639 0.8932
Cs 0.3715 0.8932 0.3639
Ga 0.3845 0.4798 0.7513
Ga 0.8845 0.7513 0.4798
Ga 0.6155 0.5202 0.2487
Ga 0.1155 0.2487 0.5202
Ga 0.2500 0.0000 0.0000
Ga 0.7500 0.0000 0.0000
Bi 0.3834 0.2329 0.0003
Bi 0.8834 0.0003 0.2329
Bi 0.6166 0.7671 0.9997
Bi 0.1166 0.9997 0.7671
Bi 0.5278 0.7222 0.7222
Bi 0.4722 0.2778 0.2778
Bi 0.7500 0.5000 0.5000
Bi 0.2500 0.5000 0.5000
Bi 0.9722 0.2778 0.2778
Bi 0.0278 0.7222 0.7222
```

Calculated values
M_tot, Bohr magnetons per cell: 0.0
Formation energy from the elements, kJ per mole of atoms: -15


Record 2
Below is a relaxed structure of SrAsN3, with properties calculated at the GGA-PBE level. Values from VASP.

The structure in Quantum ESPRESSO input format:
```
&SYSTEM
  ibrav = 0, nat = 5, ntyp = 3
/
ATOMIC_SPECIES
Sr 87.62 Sr.upf
As 74.92 As.upf
N 14.01 N.upf
CELL_PARAMETERS angstrom
4.7378 0.0000 0.0000
0.0000 4.7378 0.0000
0.0000 0.0000 4.7378
ATOMIC_POSITIONS crystal
Sr 0.0000 0.0000 0.0000
As 0.5000 0.5000 0.5000
N 0.0000 0.5000 0.0000
N 0.0000 0.0000 0.5000
N 0.5000 0.0000 0.0000
```

Calculated values
M_tot, Bohr magnetons per cell: 4.0
DFT total energy, eV/atom: -3.90


Record 3
Below is a relaxed structure of Hg2PtW, with properties calculated at the GGA-PBE level. Values from VASP.

The structure in Quantum ESPRESSO input format:
```
&SYSTEM
  ibrav = 0, nat = 4, ntyp = 3
/
ATOMIC_SPECIES
Hg 200.59 Hg.upf
Pt 195.08 Pt.upf
W 183.84 W.upf
CELL_PARAMETERS angstrom
-0.5306 6.4062 -0.3574
-5.4069 3.4764 -0.3590
4.1400 -4.0609 2.7962
ATOMIC_POSITIONS crystal
Hg 0.0375 0.0375 0.0000
Hg 0.7283 0.2283 0.5000
Pt 0.4615 0.4615 0.0000
W 0.2728 0.7728 0.5000
```

Calculated values
M_tot, Bohr magnetons per cell: 0.0
Formation energy from the elements, kJ per mole of atoms: 45
Relative energy among the computed polymorphs, meV/atom: 262


Record 4
Below is a relaxed structure of Pa8MnRh5, with properties calculated at the GGA-PBE level. Values from VASP.

The structure in Quantum ESPRESSO input format:
```
&SYSTEM
  ibrav = 0, nat = 14, ntyp = 3
/
ATOMIC_SPECIES
Pa 231.04 Pa.upf
Mn 54.94 Mn.upf
Rh 102.91 Rh.upf
CELL_PARAMETERS angstrom
1.8461 -4.4112 -5.5493
0.9857 -3.5341 6.3403
-7.0341 1.9474 -0.6244
ATOMIC_POSITIONS crystal
Pa 0.1211 0.7243 0.9826
Pa 0.0174 0.1385 0.7417
Pa 0.7637 0.2720 0.3981
Pa 0.6019 0.3656 0.8739
Pa 0.5083 0.6344 0.2363
Pa 0.6032 0.8615 0.8789
Pa 0.2583 0.2757 0.3968
Pa 0.1261 0.7280 0.4917
Mn 0.2500 0.5000 0.7500
Rh 0.9777 0.3469 0.1030
Rh 0.8970 0.8746 0.2438
Rh 0.7562 0.6531 0.6308
Rh 0.5000 0.0000 0.5000
Rh 0.3692 0.1254 0.0223
```

Calculated values
M_tot, Bohr magnetons per cell: 0.0
Formation energy from the elements, kJ per mole of atoms: -46


Record 5
Below is a relaxed structure of HfPaGe2, with properties calculated at the GGA-PBE level. Values from VASP.

The structure in Quantum ESPRESSO input format:
```
&SYSTEM
  ibrav = 0, nat = 4, ntyp = 3
/
ATOMIC_SPECIES
Ge 72.64 Ge.upf
Pa 231.04 Pa.upf
Hf 178.49 Hf.upf
CELL_PARAMETERS angstrom
-2.4677 1.6634 -0.7405
-2.5973 -0.3138 1.6001
1.4974 8.1503 6.9676
ATOMIC_POSITIONS crystal
Ge 0.0936 0.0936 0.7192
Ge 0.9064 0.9064 0.2808
Pa 0.0000 0.0000 0.0000
Hf 0.5000 0.5000 0.5000
```

Calculated values
M_tot, Bohr magnetons per cell: 0.2
Formation energy from the elements, kJ per mole of atoms: 5
Relative energy among the computed polymorphs, meV/atom: 510


Record 6
Below is a relaxed structure of Li2TiHgH, with properties calculated at the GGA-PBE level. Values from VASP.

The structure in Quantum ESPRESSO input format:
```
&SYSTEM
  ibrav = 0, nat = 5, ntyp = 4
/
ATOMIC_SPECIES
H 1.01 H.upf
Li 6.94 Li.upf
Hg 200.59 Hg.upf
Ti 47.87 Ti.upf
CELL_PARAMETERS angstrom
4.1244 0.0000 0.0000
0.0000 4.1244 0.0000
0.0000 0.0000 4.0741
ATOMIC_POSITIONS crystal
H 0.0000 0.0000 0.0000
Li 0.0000 0.5000 0.0000
Li 0.5000 0.0000 0.0000
Hg 0.5000 0.5000 0.5000
Ti 0.0000 0.0000 0.5000
```

Calculated values
M_tot, Bohr magnetons per cell: 1.8
DFT total energy, eV/atom: -3.23


Record 7
Below is a relaxed structure of CsZnBr2F, with properties calculated at the GGA-PBE level. Values from VASP.

The structure in Quantum ESPRESSO input format:
```
&SYSTEM
  ibrav = 0, nat = 5, ntyp = 4
/
ATOMIC_SPECIES
Cs 132.91 Cs.upf
Zn 65.41 Zn.upf
Br 79.90 Br.upf
F 19.00 F.upf
CELL_PARAMETERS angstrom
-2.5964 -1.4253 4.7562
-2.2510 -4.4460 -2.5612
3.2834 -2.2982 1.1037
ATOMIC_POSITIONS crystal
Cs 0.5000 0.5000 0.5000
Zn 0.0000 0.0000 0.0000
Br 0.0000 0.5000 0.0000
Br 0.5000 0.0000 0.0000
F 0.0000 0.0000 0.5000
```

Calculated values
M_tot, Bohr magnetons per cell: 0.0
DFT total energy, eV/atom: -3.00


Record 8
Below is a relaxed structure of Tc12B6P, with properties calculated at the GGA-PBE level. Values from VASP.

The structure in Quantum ESPRESSO input format:
```
&SYSTEM
  ibrav = 0, nat = 19, ntyp = 3
/
ATOMIC_SPECIES
Tc 98.00 Tc.upf
B 10.81 B.upf
P 30.97 P.upf
CELL_PARAMETERS angstrom
6.2086 0.0000 -2.1951
-3.1043 5.3768 -2.1951
0.0000 0.0000 6.5852
ATOMIC_POSITIONS crystal
Tc 0.2995 0.1123 0.8128
Tc 0.2995 0.4867 0.1872
Tc 0.7005 0.5133 0.8128
Tc 0.7005 0.8877 0.1872
Tc 0.1123 0.8128 0.2995
Tc 0.4867 0.1872 0.2995
Tc 0.5133 0.8128 0.7005
Tc 0.8877 0.1872 0.7005
Tc 0.8128 0.2995 0.1123
Tc 0.1872 0.2995 0.4867
Tc 0.8128 0.7005 0.5133
Tc 0.1872 0.7005 0.8877
B 0.3830 0.5000 0.8830
B 0.6170 0.5000 0.1170
B 0.5000 0.8830 0.3830
B 0.5000 0.1170 0.6170
B 0.8830 0.3830 0.5000
B 0.1170 0.6170 0.5000
P 0.0000 0.0000 0.0000
```

Calculated values
M_tot, Bohr magnetons per cell: 0.0
Formation energy from the elements, kJ per mole of atoms: -30